No. 1
# In3ReHg, optimized geometry, DFT PBE
# **Offset from the most stable computed form**: 0 meV per atom
# **ΔH_f (0 K)**: 0.42 eV per atom
data_In3ReHg
_chemical_formula_sum 'In3 Re1 Hg1'
_cell_length_a 5.277
_cell_length_b 5.277
_cell_length_c 5.277
_cell_angle_alpha 90.00
_cell_angle_beta 90.00
_cell_angle_gamma 90.00
_space_group_name_H-M_alt 'P m -3 m'
_space_group_IT_number 221
_space_group_name_Hall '-P 4 2 3'
loop_
_atom_site_label
_atom_site_type_symbol
_atom_site_fract_x
_atom_site_fract_y
_atom_site_fract_z
_atom_site_occupancy
In1 In 0.000 0.000 0.500 1
Re1 Re 0.000 0.000 0.000 1
Hg1 Hg 0.500 0.500 0.500 1

No. 2
# InReHg4, optimized geometry, DFT PBE
# **ΔH_f (0 K)**: 0.96 eV per atom
data_InReHg4
_chemical_formula_sum 'In4 Re4 Hg16'
_cell_length_a 8.275
_cell_length_b 8.275
_cell_length_c 8.275
_cell_angle_alpha 90.00
_cell_angle_beta 90.00
_cell_angle_gamma 90.00
_space_group_name_H-M_alt 'F -4 3 m'
_space_group_IT_number 216
_space_group_name_Hall 'F -4 2 3'
loop_
_atom_site_label
_atom_site_type_symbol
_atom_site_fract_x
_atom_site_fract_y
_atom_site_fract_z
_atom_site_occupancy
In1 In 0.000 0.000 0.000 1
Re1 Re 0.250 0.250 0.750 1
Hg1 Hg 0.125 0.125 0.375 1

No. 3
# InReSi2Hg, optimized geometry, DFT PBE
# **E_form (uncorrected)**: 0.367 eV per atom
data_InReSi2Hg
_chemical_formula_sum 'In1 Re1 Si2 Hg1'
_cell_length_a 4.675
_cell_length_b 4.675
_cell_length_c 5.475
_cell_angle_alpha 90.00
_cell_angle_beta 90.00
_cell_angle_gamma 90.00
_space_group_name_H-M_alt 'P 4/m m m'
_space_group_IT_number 123
_space_group_name_Hall '-P 4 2'
loop_
_atom_site_label
_atom_site_type_symbol
_atom_site_fract_x
_atom_site_fract_y
_atom_site_fract_z
_atom_site_occupancy
In1 In 0.000 0.000 0.000 1
Re1 Re 0.500 0.500 0.500 1
Si1 Si 0.000 0.500 0.500 1
Hg1 Hg 0.500 0.500 0.000 1

No. 4
# InReSn2Hg, optimized geometry, DFT PBE
# **ΔH_f (0 K)**: 0.19 eV per atom
data_InReSn2Hg
_chemical_formula_sum 'In1 Re1 Sn2 Hg1'
_cell_length_a 5.194
_cell_length_b 5.194
_cell_length_c 5.339
_cell_angle_alpha 90.00
_cell_angle_beta 90.00
_cell_angle_gamma 90.00
_space_group_name_H-M_alt 'P 4/m m m'
_space_group_IT_number 123
_space_group_name_Hall '-P 4 2'
loop_
_atom_site_label
_atom_site_type_symbol
_atom_site_fract_x
_atom_site_fract_y
_atom_site_fract_z
_atom_site_occupancy
In1 In 0.000 0.000 0.000 1
Re1 Re 0.000 0.000 0.500 1
Sn1 Sn 0.000 0.500 0.500 1
Hg1 Hg 0.500 0.500 0.000 1

No. 5
# Y2InReHg, optimized geometry, DFT PBE
# **ΔH_f (0 K)**: 0.36 eV per atom
data_Y2InReHg
_chemical_formula_sum 'Y2 In1 Re1 Hg1'
_cell_length_a 5.286
_cell_length_b 5.286
_cell_length_c 5.351
_cell_angle_alpha 90.00
_cell_angle_beta 90.00
_cell_angle_gamma 90.00
_space_group_name_H-M_alt 'P 4/m m m'
_space_group_IT_number 123
_space_group_name_Hall '-P 4 2'
loop_
_atom_site_label
_atom_site_type_symbol
_atom_site_fract_x
_atom_site_fract_y
_atom_site_fract_z
_atom_site_occupancy
Y1 Y 0.000 0.500 0.000 1
In1 In 0.000 0.000 0.500 1
Re1 Re 0.500 0.500 0.000 1
Hg1 Hg 0.500 0.500 0.500 1

No. 6
# In2HgRh, optimized geometry, DFT PBE
# **ΔH_f (0 K)**: -0.06 eV per atom
data_In2HgRh
_chemical_formula_sum 'In2 Hg1 Rh1'
_cell_length_a 3.443
_cell_length_b 4.174
_cell_length_c 6.231
_cell_angle_alpha 90.00
_cell_angle_beta 105.99
_cell_angle_gamma 90.00
_space_group_name_H-M_alt 'P 1 m 1'
_space_group_IT_number 6
loop_
_space_group_symop_operation_xyz
'x,y,z'
'x,-y,z'
loop_
_atom_site_label
_atom_site_type_symbol
_atom_site_fract_x
_atom_site_fract_y
_atom_site_fract_z
_atom_site_occupancy
In1 In 0.000 0.000 0.000 1
In2 In 0.325 0.500 0.649 1
Hg1 Hg 0.720 0.000 0.436 1
Rh1 Rh 0.550 0.500 0.101 1

No. 7
# In2Hg2Rh, optimized geometry, DFT PBE
# **ΔH_f (0 K)**: 0.18 eV per atom
data_In2Hg2Rh
_chemical_formula_sum 'In4 Hg4 Rh2'
_cell_length_a 7.138
_cell_length_b 7.138
_cell_length_c 4.691
_cell_angle_alpha 90.00
_cell_angle_beta 90.00
_cell_angle_gamma 90.00
_space_group_name_H-M_alt 'P 4/m b m'
_space_group_IT_number 127
_space_group_name_Hall '-P 4 2ab'
loop_
_atom_site_label
_atom_site_type_symbol
_atom_site_fract_x
_atom_site_fract_y
_atom_site_fract_z
_atom_site_occupancy
In1 In 0.164 0.336 0.000 1
Hg1 Hg 0.156 0.656 0.500 1
Rh1 Rh 0.000 0.000 0.000 1

No. 8
# In2HgRh, optimized geometry, DFT PBE
# **ΔH_f (0 K)**: 0.01 eV per atom
data_In2HgRh
_chemical_formula_sum 'In4 Hg2 Rh2'
_cell_length_a 4.216
_cell_length_b 4.216
_cell_length_c 8.938
_cell_angle_alpha 90.00
_cell_angle_beta 90.00
_cell_angle_gamma 90.00
_space_group_name_H-M_alt 'I -4 m 2'
_space_group_IT_number 119
_space_group_name_Hall 'I -4 -2'
loop_
_atom_site_label
_atom_site_type_symbol
_atom_site_fract_x
_atom_site_fract_y
_atom_site_fract_z
_atom_site_occupancy
In1 In 0.000 0.000 0.000 1
In2 In 0.000 0.500 0.250 1
Hg1 Hg 0.000 0.000 0.500 1
Rh1 Rh 0.000 0.500 0.750 1

| no. | total magnetization (μB/f.u.) | E (eV per cell) |
| --- | --- | --- |
| 1 | 0.000 | -18.9 |
| 2 | 3.284 | -42.4 |
| 3 | 0.000 | -24.5 |
| 4 | 0.000 | -22.5 |
| 5 | 0.000 | -26.6 |
| 6 | 0.000 | -13.4 |
| 7 | 0.000 | -25.1 |
| 8 | 0.000 | -26.2 |